This record from Alexandria via LeMat-Bulk describes ErMoIO4 after structural relaxation. The functional is PBE with a Hubbard U.

It has space group C2/m (No. 12), with a = 10.8241 Å, b = 7.1897 Å, c = 7.0809 Å, α = 90.00°, β = 106.40° and γ = 90.00°. The asymmetric unit holds Er at (0.2444, 0.0000, 0.1313), Mo at (0.1353, 0.5000, 0.2658), I at (0.0161, 0.0000, 0.7527), O at (0.0368, 0.5000, 0.8003), O at (0.1958, 0.3075, 0.1495) and O at (0.1967, 0.5000, 0.5276).

The calculation puts the total energy at -6.778 eV/atom.